Entry 1:
Entry from the Alexandria database: a relaxed structure of VTeWAu2 (PBE-GGA).

energy relative to the elements, uncorrected: 1.216 eV per atom

extended XYZ file:
```
5
Lattice="4.982 0.000 0.000 0.000 4.982 0.000 0.000 0.000 4.462" Properties=species:S:1:pos:R:3 pbc="T T T"
V 0.000 0.000 0.000
Te 2.491 2.491 2.231
W 0.000 0.000 2.231
Au 0.000 2.491 0.000
Au 2.491 0.000 0.000
```

***

Entry 2:
Entry from the Alexandria database: a relaxed structure of Be2Te (PBE-GGA).

energy relative to the elements, uncorrected: 1.067 eV per atom
offset from the most stable computed form: 1046 meV per atom

extended XYZ file:
```
6
Lattice="5.819 0.000 0.000 0.000 5.819 0.000 0.000 0.000 3.810" Properties=species:S:1:pos:R:3 pbc="T T T"
Be 1.171 1.171 0.000
Be 1.738 4.081 1.905
Be 4.081 1.738 1.905
Be 4.648 4.648 0.000
Te 0.000 0.000 1.905
Te 2.910 2.910 0.000
```

***

Entry 3:
Entry from the Alexandria database: a relaxed structure of Rb3AgOs2O9 (PBE-GGA).

energy relative to the elements, uncorrected: -1.097 eV per atom

extended XYZ file:
```
15
Lattice="5.821 0.000 0.000 -2.911 5.041 0.000 0.000 0.000 7.540" Properties=species:S:1:pos:R:3 pbc="T T T"
Rb 0.000 0.000 0.000
Rb 0.000 3.361 4.958
Rb 2.911 1.680 2.582
Ag 0.000 0.000 3.770
Os 0.000 3.361 1.165
Os 2.911 1.680 6.374
O -1.455 2.521 0.000
O 0.000 1.830 2.163
O -1.326 4.126 2.163
O 1.585 0.915 5.377
O 2.911 0.000 0.000
O 1.455 2.521 0.000
O 1.326 4.126 2.163
O 4.236 0.915 5.377
O 2.911 3.211 5.377
```

***

Entry 4:
Entry from the Alexandria database: a relaxed structure of K4SmU3O12 (PBE-GGA).

energy relative to the elements, uncorrected: -2.906 eV per atom

extended XYZ file:
```
20
Lattice="-4.349 4.349 4.349 4.349 -4.349 4.349 4.349 4.349 -4.349" Properties=species:S:1:pos:R:3 pbc="T T T"
K 2.174 2.174 -2.174
K 2.174 -2.174 2.174
K -2.174 2.174 2.174
K 2.174 2.174 2.174
Sm 0.000 0.000 0.000
U 4.349 0.000 0.000
U 0.000 4.349 0.000
U 0.000 0.000 4.349
O 2.329 0.000 0.000
O 6.368 0.000 0.000
O 4.349 2.174 0.000
O 4.349 0.000 2.174
O 0.000 2.329 0.000
O 0.000 0.000 2.329
O 2.174 4.349 0.000
O 2.174 0.000 4.349
O 0.000 6.368 0.000
O 0.000 0.000 6.368
O 0.000 4.349 2.174
O 0.000 2.174 4.349
```